# Li2VO2F | Alexandria via LeMat-Bulk | PBE+U | optimized geometry
# - V: 9.3 A^3/atom
# - Calculated density: 3.451 g/cm³
# - Energy above the most stable polymorph in this dataset: 0.091 eV/atom
data_Li2VO2F
_space_group_name_H-M_alt 'C 1 m 1'
_space_group_IT_number 8
_cell_length_a 9.6783
_cell_length_b 4.1314
_cell_length_c 6.0371
_cell_angle_alpha 90.00
_cell_angle_beta 112.57
_cell_angle_gamma 90.00
loop_
_space_group_symop_operation_xyz
'x,y,z'
'x,-y,z'
'x+1/2,y+1/2,z'
'x+1/2,-y+1/2,z'
loop_
_atom_site_label
_atom_site_type_symbol
_atom_site_fract_x
_atom_site_fract_y
_atom_site_fract_z
Li1 Li 0.0000 0.0000 0.0000
Li2 Li 0.0219 0.0000 0.4549
Li3 Li 0.1927 0.5000 0.8131
Li4 Li 0.3504 0.0000 0.1282
V1 V 0.1979 0.5000 0.2733
V2 V 0.3608 0.0000 0.6466
O1 O 0.0193 0.5000 0.9693
O2 O 0.1930 0.0000 0.3172
O3 O 0.3456 0.5000 0.1431
O4 O 0.3465 0.5000 0.6240
F1 F 0.0229 0.5000 0.4839
F2 F 0.1954 0.0000 0.7849